A relaxed LiZrGa2Ag crystal. Source: the Alexandria database, functional PBE-GGA.

## Properties
* ΔE_f: 0.2905 eV/atom
* V: 20.205 Å³ per atom
* energy: -17.91 eV per cell

Cell: 4.7897 4.7897 4.4036 Å, 90.00 90.00 90.00°
Last column: nearest neighbours and their distance in Å.
Element x y z (fractional)
Li 0.0000 0.0000 0.0000  2 Ag 2.20
Zr 0.5000 0.5000 0.0000  8 Ga 3.25, 4 Li 3.39
Ga 0.0000 0.5000 0.5000  2 Ag 2.39
Ga 0.5000 0.0000 0.5000  2 Ag 2.39
Ag 0.0000 0.0000 0.5000  2 Li 2.20, 4 Ga 2.39



A relaxed KNaSr2Pt crystal. Source: the Alexandria database, functional PBE-GGA.

## Properties
* ΔE_f: -0.2683 eV/atom
* energy relative to the lowest polymorph listed for this composition: 0.000 eV per atom
* V: 42.960 Å³ per atom
* energy: -13.16 eV per cell

Cell: 5.9495 5.9495 6.0685 Å, 90.00 90.00 90.00°
Last column: nearest neighbours and their distance in Å.
Element x y z (fractional)
K 0.0000 0.0000 0.0000  4 Na 4.21, 8 Sr 4.25
Na 0.5000 0.5000 0.0000  2 Pt 3.03
Sr 0.0000 0.5000 0.5000  2 Pt 2.97
Sr 0.5000 0.0000 0.5000  2 Pt 2.97
Pt 0.5000 0.5000 0.5000  4 Sr 2.97, 2 Na 3.03